Record 1
Compound: Li6CoNi9O20
Source: Alexandria
Functional: GGA+U
Structure: relaxed

Summary:
- spin magnetization (μB per formula unit) = 7.00

Lattice parameters (Å, degrees): 23.0881 2.8261 11.6632 90.00 114.34 90.00
Closest atoms and distances in Å follow each position.
Space group C2/m (No. 12)
Inequivalent atoms, fractional coordinates:
1 Li 0.0899 0.0000 0.4373  5 O 1.96-2.14
2 Li 0.0963 0.0000 0.9479  5 O 2.07-2.12
3 Li 0.2103 0.5000 0.6749  3 O 1.99-2.04
4 Co 0.0000 0.5000 0.0000  6 O 1.88-1.89
5 Ni 0.0000 0.5000 0.5000  6 O 1.88-1.90
6 Ni 0.0981 0.0000 0.7030  6 O 2.00-2.11
7 Ni 0.0991 0.0000 0.2020  6 O 1.98-2.11
8 Ni 0.2006 0.5000 0.4051  6 O 1.85-1.94
9 Ni 0.2023 0.5000 0.9014  6 O 1.86-1.92
10 O 0.0012 0.0000 0.1084  2 Co 1.89, 1 Ni 2.07, 1 Li 2.07
11 O 0.0015 0.0000 0.6078  3 Ni 1.88-2.04, 1 Li 1.96
12 O 0.0892 0.5000 0.0769  1 Co 1.88, 2 Ni 1.98
13 O 0.0904 0.5000 0.5757  3 Ni 1.90-2.00
14 O 0.1129 0.5000 0.3336  3 Ni 1.85-2.01, 2 Li 2.07
15 O 0.1141 0.5000 0.8339  3 Ni 1.86-2.00
16 O 0.1991 0.0000 0.2995  2 Ni 1.87, 1 Li 1.99
17 O 0.1985 0.0000 0.7899  3 Ni 1.90-2.11, 2 Li 2.04
18 O 0.2068 0.0000 0.0115  3 Ni 1.88-1.92
19 O 0.2074 0.0000 0.5206  3 Ni 1.91-1.94

Record 2
Compound: LiCo2NiO4
Source: Alexandria
Functional: GGA+U
Structure: relaxed

Summary:
- spin magnetization (μB per formula unit) = 6.99

Lattice parameters (Å, degrees): 5.9074 8.2576 5.9523 90.00 90.00 90.00
Closest atoms and distances in Å follow each position.
Space group Fmm2 (No. 42)
Inequivalent atoms, fractional coordinates:
1 Li 0.0000 0.0000 0.0000  6 O 2.09-2.10
2 Co 0.2500 0.2500 0.2504  6 O 2.06-2.10
3 Ni 0.0000 0.0000 0.5010  6 O 2.04-2.10
4 O 0.0000 0.2473 0.5004  1 Ni 2.04, 1 Li 2.09, 4 Co 2.10
5 O 0.2501 0.0000 0.2507  2 Co 2.06, 2 Li 2.09-2.10, 2 Ni 2.09-2.10

Record 3
Compound: Li2Co3NiO8
Source: Alexandria
Functional: GGA+U
Structure: relaxed

Summary:
- spin magnetization (μB per formula unit) = 5.00

Lattice parameters (Å, degrees): 5.6855 5.6855 14.1491 90.00 90.00 120.00
Closest atoms and distances in Å follow each position.
Space group R3m (No. 160, hexagonal axes)
Inequivalent atoms, fractional coordinates:
1 Li 0.0000 0.0000 0.0000  4 O 1.93-1.97
2 Li 0.0000 0.0000 0.3751  6 O 2.02-2.05
3 Co 0.0059 0.5030 0.8780  6 O 1.83-1.97
4 Ni 0.0000 0.0000 0.7580  4 O 1.89-1.97
5 O 0.0000 0.0000 0.1396  3 Co 1.91, 1 Li 1.97
6 O 0.0000 0.0000 0.6185  3 Co 1.97, 1 Ni 1.97
7 O 0.0275 0.5138 0.1365  1 Ni 1.89, 2 Co 1.91, 1 Li 2.02
8 O 0.1793 0.3587 0.9447  2 Co 1.83, 2 Li 1.93-2.05

Record 4
Compound: Li2Co3NiO8
Source: Alexandria
Functional: GGA+U
Structure: relaxed

Summary:
- spin magnetization (μB per formula unit) = 4.96

Lattice parameters (Å, degrees): 5.6686 5.6686 9.5149 90.00 90.00 120.00
Closest atoms and distances in Å follow each position.
Space group P6_3mc (No. 186)
Inequivalent atoms, fractional coordinates:
1 Li 0.0000 0.0000 0.0000  4 O 1.77-1.89
2 Li 0.3333 0.6667 0.3953  4 O 1.92-2.05
3 Co 0.1684 0.3367 0.7157  6 O 1.88-1.90
4 Ni 0.3333 0.6667 0.9908  6 O 2.07-2.13
5 O 0.0000 0.0000 0.3138  1 Li 1.77, 3 Co 1.90
6 O 0.0358 0.5179 0.8282  2 Co 1.88, 1 Li 1.92
7 O 0.1591 0.3182 0.1124  2 Co 1.89, 1 Li 1.89, 1 Ni 2.07
8 O 0.3333 0.6667 0.6104  3 Co 1.90, 1 Li 2.05

Record 5
Compound: Li2CoNiP2O8
Source: Alexandria
Functional: GGA+U
Structure: relaxed

Summary:
- spin magnetization (μB per formula unit) = 5.01

Lattice parameters (Å, degrees): 4.7343 5.9606 10.2199 90.06 90.07 90.07
Closest atoms and distances in Å follow each position.
Space group P1 (No. 1)
Inequivalent atoms, fractional coordinates:
1 Li 0.0000 0.0000 0.0000  6 O 2.10-2.17
2 Li 0.9996 0.4994 0.9997  6 O 2.11-2.16
3 Li 0.4991 0.0002 0.5007  6 O 2.11-2.18
4 Li 0.5003 0.5004 0.5001  6 O 2.12-2.19
5 Co 0.0222 0.7499 0.2746  6 O 2.08-2.20
6 Co 0.9801 0.2499 0.7243  6 O 2.08-2.20
7 Ni 0.4846 0.7499 0.7772  6 O 2.06-2.17
8 Ni 0.5134 0.2496 0.2235  6 O 2.06-2.18
9 P 0.0793 0.2501 0.4055  4 O 1.54-1.57
10 P 0.4186 0.2499 0.9074  4 O 1.54-1.57
11 P 0.5817 0.7497 0.0927  4 O 1.54-1.57
12 P 0.9187 0.7505 0.5959  4 O 1.54-1.58
13 O 0.1990 0.2493 0.5473  1 P 1.55
14 O 0.2192 0.0448 0.3338  1 P 1.57
15 O 0.2196 0.4563 0.3347  1 P 1.57
16 O 0.2432 0.7500 0.6017  1 P 1.54
17 O 0.2575 0.7493 0.0964  1 P 1.54
18 O 0.2783 0.4570 0.8374  1 P 1.57
19 O 0.2828 0.0433 0.8346  1 P 1.57
20 O 0.2972 0.2478 0.0488  1 P 1.56
21 O 0.7035 0.7504 0.9514  1 P 1.56
22 O 0.7182 0.5426 0.1643  1 P 1.57
23 O 0.7184 0.9568 0.1648  1 P 1.57
24 O 0.7430 0.2516 0.9034  1 P 1.54
25 O 0.7549 0.2505 0.4001  1 P 1.54
26 O 0.7780 0.5438 0.6663  1 P 1.57
27 O 0.7782 0.9556 0.6685  1 P 1.58
28 O 0.8008 0.7522 0.4543  1 P 1.55

Record 6
Compound: Li4CoNi5P6O24
Source: Alexandria
Functional: GGA+U
Structure: relaxed

Summary:
- spin magnetization (μB per formula unit) = 15.09

Lattice parameters (Å, degrees): 8.2651 8.4210 8.5701 60.96 61.32 62.29
Closest atoms and distances in Å follow each position.
Space group P1 (No. 1)
Inequivalent atoms, fractional coordinates:
1 Li 0.0000 0.0000 0.0000  4 O 2.03-2.11
2 Li 0.1494 0.8760 0.4726  4 O 1.96-2.06
3 Li 0.3152 0.3631 0.3898  3 O 2.02-2.05
4 Li 0.6642 0.6473 0.7044  4 O 2.01-2.23
5 Co 0.2660 0.5867 0.9410  4 O 1.82-2.03
6 Ni 0.0422 0.3807 0.7526  5 O 1.99-2.22
7 Ni 0.4224 0.7281 0.1103  5 O 2.02-2.18
8 Ni 0.5529 0.8861 0.2465  6 O 2.05-2.11
9 Ni 0.7727 0.0836 0.4602  6 O 2.03-2.27
10 Ni 0.9092 0.2420 0.5889  5 O 2.01-2.19
11 P 0.1666 0.1682 0.1373  4 O 1.53-1.56
12 P 0.3395 0.9826 0.6409  4 O 1.53-1.59
13 P 0.4778 0.4772 0.5547  4 O 1.53-1.56
14 P 0.6415 0.3017 0.0629  4 O 1.52-1.57
15 P 0.8565 0.7702 0.8562  4 O 1.53-1.57
16 P 0.9668 0.7014 0.3435  4 O 1.53-1.59
17 O 0.0151 0.1939 0.3279  1 P 1.55
18 O 0.0171 0.6636 0.9519  1 P 1.57
19 O 0.0830 0.1928 0.9995  1 P 1.53
20 O 0.1740 0.1816 0.6174  1 P 1.59
21 O 0.1827 0.6173 0.2210  1 P 1.59
22 O 0.2673 0.8569 0.8556  1 P 1.58
23 O 0.2863 0.3116 0.0292  1 P 1.56
24 O 0.2965 0.4370 0.5936  1 P 1.53
25 O 0.3034 0.9602 0.1886  1 P 1.56
26 O 0.3506 0.9088 0.5039  1 P 1.53
27 O 0.4527 0.5575 0.6980  1 P 1.56
28 O 0.5009 0.1769 0.1739  1 P 1.57
29 O 0.5200 0.6213 0.3490  1 P 1.56
30 O 0.5205 0.5171 0.9938  1 P 1.57
31 O 0.5371 0.9869 0.6053  1 P 1.53
32 O 0.6543 0.2944 0.5702  1 P 1.55
33 O 0.6540 0.8316 0.9948  1 P 1.54
34 O 0.6998 0.2680 0.2227  1 P 1.52
35 O 0.8059 0.2503 0.8882  1 P 1.55
36 O 0.8336 0.8196 0.2224  1 P 1.53
37 O 0.8601 0.6255 0.7946  1 P 1.53
38 O 0.9038 0.5263 0.5142  1 P 1.57
39 O 0.9095 0.9485 0.6876  1 P 1.56
40 O 0.9712 0.8368 0.4117  1 P 1.53

| no. | DFT total energy (eV per atom) |
| --- | --- |
| 1 | -4.877 |
| 2 | -5.477 |
| 3 | -5.439 |
| 4 | -5.508 |
| 5 | -6.444 |
| 6 | -6.269 |